Record 1
## AsOsSe2 (PBE)

Data for a geometry-optimized AsOsSe2 structure.

a b c (Å): 2.9629 2.9629 8.7447
angles (deg): 90.00 90.00 90.00
Last column: nearest neighbours and their distance in Å.
Atoms (fractional coordinates):
Os (0.5000, 0.5000, 0.7500)  8 Se 2.66, 4 Os 2.96
Se (0.0000, 0.0000, 0.9368)  4 Os 2.66, 4 Se 2.96
Se (0.0000, 0.0000, 0.5632)  4 Os 2.66, 4 Se 2.96
As (0.5000, 0.5000, 0.2500)  4 As 2.96

V in A^3/atom: 19.192
Relative energy among the computed polymorphs in eV/atom: 0.388
Symmetry: P4/mmm

=====

Record 2
## AsOsSe2 (PBE)

Data for a geometry-optimized AsOsSe2 structure.

a b c (Å): 6.3799 6.3799 6.3799
angles (deg): 152.43 138.40 50.64
Last column: nearest neighbours and their distance in Å.
Atoms (fractional coordinates):
Se (0.0658, 0.0658, 0.0000)  2 Os 2.52
Se (0.7737, 0.2737, 0.5000)  4 Os 2.76, 2 As 2.83, 2 Se 3.04
Os (0.2396, 0.7396, 0.5000)  6 Se 2.52-2.76, 2 As 2.59
As (0.4209, 0.4209, 0.0000)  2 Os 2.59, 2 Se 2.83

V in A^3/atom: 19.862
Relative energy among the computed polymorphs in eV/atom: 0.237
Symmetry: Imm2

=====

Record 3
## AsOsSe2 (PBE)

Data for a geometry-optimized AsOsSe2 structure.

a b c (Å): 2.9200 2.9202 9.5060
angles (deg): 90.00 90.00 90.00
Last column: nearest neighbours and their distance in Å.
Atoms (fractional coordinates):
Se (0.5000, 0.5000, 0.2487)  4 Se 2.92
Se (0.0000, 0.0000, 0.9246)  4 Os 2.64, 4 Se 2.92
Os (0.5000, 0.5000, 0.7519)  4 Se 2.64, 4 As 2.66, 4 Os 2.92
As (0.0000, 0.0000, 0.5748)  4 Os 2.66, 4 As 2.92

V in A^3/atom: 20.264
Relative energy among the computed polymorphs in eV/atom: 0.193
Symmetry: P4mm

=====

Record 4
## AsOsSe2 (PBE)

Data for a geometry-optimized AsOsSe2 structure.

a b c (Å): 3.8548 4.7411 5.0859
angles (deg): 117.79 90.00 90.00
Last column: nearest neighbours and their distance in Å.
Atoms (fractional coordinates):
As (0.0000, 0.5647, 0.2544)  2 Os 2.50, 2 Se 2.65
Se (0.5000, 0.2615, 0.6481)  2 Os 2.38
Se (0.0000, 0.9329, 0.9907)  2 Os 2.59, 2 As 2.65
Os (0.5000, 0.7409, 0.6068)  4 Se 2.38-2.59, 2 As 2.50

V in A^3/atom: 20.558
Relative energy among the computed polymorphs in eV/atom: 0.000
Symmetry: Amm2

=====

Record 5
## AsOsSe (PBE)

Data for a geometry-optimized AsOsSe structure.

a b c (Å): 6.2451 6.2451 7.0874
angles (deg): 106.87 106.87 109.97
Last column: nearest neighbours and their distance in Å.
Atoms (fractional coordinates):
Os (0.7126, 0.2111, 0.9982)  3 As 2.46-2.53, 3 Se 2.46-2.48
Os (0.2129, 0.7144, 0.0018)  3 As 2.46-2.53, 3 Se 2.46-2.48
Os (0.4644, 0.4629, 0.5018)  3 As 2.46-2.53, 3 Se 2.46-2.48
Os (0.9611, 0.9626, 0.4982)  3 As 2.46-2.53, 3 Se 2.46-2.48
As (0.2426, 0.0532, 0.8681)  3 Os 2.46-2.53, 1 As 2.52
As (0.1851, 0.3745, 0.1319)  3 Os 2.46-2.53, 1 As 2.52
As (0.8032, 0.4926, 0.3681)  3 Os 2.46-2.53, 1 As 2.52
As (0.1245, 0.4351, 0.6319)  3 Os 2.46-2.53, 1 As 2.52
Se (0.2919, 0.9990, 0.3664)  3 Os 2.46-2.48, 1 Se 2.68
Se (0.6326, 0.9255, 0.6336)  3 Os 2.46-2.48, 1 Se 2.68
Se (0.7490, 0.5419, 0.8664)  3 Os 2.46-2.48, 1 Se 2.68
Se (0.6755, 0.8826, 0.1336)  3 Os 2.46-2.48, 1 Se 2.68

V in A^3/atom: 18.679
Symmetry: Fdd2

=====

Record 6
## AsOsSe (PBE)

Data for a geometry-optimized AsOsSe structure.

a b c (Å): 6.1324 6.1709 6.2459
angles (deg): 67.43 90.00 90.00
Last column: nearest neighbours and their distance in Å.
Atoms (fractional coordinates):
Se (0.8715, 0.1589, 0.1883)  3 Os 2.46-2.47, 1 As 2.59
Se (0.6285, 0.1589, 0.6883)  3 Os 2.46-2.47, 1 As 2.59
Se (0.3715, 0.8411, 0.3117)  3 Os 2.46-2.47, 1 As 2.59
Se (0.1285, 0.8411, 0.8117)  3 Os 2.46-2.47, 1 As 2.59
As (0.3661, 0.3568, 0.8823)  3 Os 2.50-2.53, 1 Se 2.59
As (0.1339, 0.3568, 0.3823)  3 Os 2.50-2.53, 1 Se 2.59
As (0.6339, 0.6432, 0.1177)  3 Os 2.50-2.53, 1 Se 2.59
As (0.8661, 0.6432, 0.6177)  3 Os 2.50-2.53, 1 Se 2.59
Os (0.0031, 0.2257, 0.7945)  3 Se 2.46-2.47, 3 As 2.50-2.53
Os (0.5031, 0.7743, 0.7055)  3 Se 2.46-2.47, 3 As 2.50-2.53
Os (0.9969, 0.7743, 0.2055)  3 Se 2.46-2.47, 3 As 2.50-2.53
Os (0.4969, 0.2257, 0.2945)  3 Se 2.46-2.47, 3 As 2.50-2.53

V in A^3/atom: 18.189
Symmetry: P2_1/c

=====

Record 7
## AsOsSe2 (PBE)

Data for a geometry-optimized AsOsSe2 structure.

a b c (Å): 3.0719 4.7906 4.6610
angles (deg): 90.00 90.00 90.00
Last column: nearest neighbours and their distance in Å.
Atoms (fractional coordinates):
Se (0.0000, 0.0000, 0.0000)  4 As 2.79, 6 Se 2.85-3.07
Se (0.5000, 0.5000, 0.0000)  4 Os 2.79, 6 Se 2.85-3.07
As (0.5000, 0.0000, 0.5000)  4 Se 2.79, 4 Os 2.85, 2 As 3.07
Os (0.0000, 0.5000, 0.5000)  4 Se 2.79, 4 As 2.85, 2 Os 3.07

V in A^3/atom: 17.148
Relative energy among the computed polymorphs in eV/atom: 0.756
Symmetry: Pmmm

=====

Record 8
## AsOsSe2 (PBE)

Data for a geometry-optimized AsOsSe2 structure.

a b c (Å): 4.5917 4.5917 4.5917
angles (deg): 60.00 60.00 60.00
Last column: nearest neighbours and their distance in Å.
Atoms (fractional coordinates):
Os (0.5000, 0.5000, 0.5000)  8 Se 2.81
Se (0.2500, 0.2500, 0.2500)  4 Os 2.81, 4 As 2.81
Se (0.7500, 0.7500, 0.7500)  4 Os 2.81, 4 As 2.81
As (0.0000, 0.0000, 0.0000)  8 Se 2.81

V in A^3/atom: 17.113
Relative energy among the computed polymorphs in eV/atom: 0.620
Symmetry: Fm-3m

=====

Record 9
## AsOs4Se (PBE)

Data for a geometry-optimized AsOs4Se structure.

a b c (Å): 5.2386 5.2386 5.2386
angles (deg): 60.00 60.00 60.00
Last column: nearest neighbours and their distance in Å.
Atoms (fractional coordinates):
Os (0.8756, 0.3748, 0.3748)  6 Os 2.62
Os (0.3748, 0.3748, 0.8756)  6 Os 2.62
Os (0.3748, 0.3748, 0.3748)  6 Os 2.62
Os (0.3748, 0.8756, 0.3748)  6 Os 2.62
As (0.0000, 0.0000, 0.0000)  12 Os 3.07, 4 Se 3.21
Se (0.7500, 0.7500, 0.7500)  12 Os 3.07, 4 As 3.21

V in A^3/atom: 16.942
Symmetry: F-43m

=====

Record 10
## AsOsSe2 (PBE)

Data for a geometry-optimized AsOsSe2 structure.

a b c (Å): 3.7968 4.9062 5.1105
angles (deg): 57.89 90.00 90.00
Last column: nearest neighbours and their distance in Å.
Atoms (fractional coordinates):
Se (0.0000, 0.9499, 0.9289)  2 Se 2.51-2.79, 2 Os 2.52
Se (0.0000, 0.5501, 0.5711)  2 Se 2.51-2.79, 2 Os 2.52
As (0.5000, 0.2500, 0.2500)  2 Os 2.43
Os (0.5000, 0.7500, 0.7500)  2 As 2.43, 4 Se 2.52

V in A^3/atom: 20.158
Relative energy among the computed polymorphs in eV/atom: 0.027
Symmetry: P2/m

=====

Record 11
## AsOsSe2 (PBE)

Data for a geometry-optimized AsOsSe2 structure.

a b c (Å): 2.9276 2.9276 10.4343
angles (deg): 90.00 90.00 120.82
Last column: nearest neighbours and their distance in Å.
Atoms (fractional coordinates):
Se (0.0000, 0.0000, 0.5480)  2 Os 2.56
Se (0.0000, 0.0000, 0.9520)  2 Os 2.56
Os (0.5000, 0.5000, 0.7500)  4 Se 2.56
As (0.5000, 0.5000, 0.2500)  6 As 2.89-2.93

V in A^3/atom: 19.202
Relative energy among the computed polymorphs in eV/atom: 0.528
Symmetry: Cmmm

=====

Record 12
## AsOsSe2 (PBE)

Data for a geometry-optimized AsOsSe2 structure.

a b c (Å): 4.5908 4.5908 4.5908
angles (deg): 60.00 60.00 60.00
Last column: nearest neighbours and their distance in Å.
Atoms (fractional coordinates):
Se (0.7500, 0.7500, 0.7500)  4 As 2.81, 4 Se 2.81
Se (0.0000, 0.0000, 0.0000)  4 Se 2.81, 4 Os 2.81
Os (0.2500, 0.2500, 0.2500)  4 As 2.81, 4 Se 2.81
As (0.5000, 0.5000, 0.5000)  4 Se 2.81, 4 Os 2.81

V in A^3/atom: 17.103
Relative energy among the computed polymorphs in eV/atom: 0.705
Symmetry: F-43m

=====

Number 1: uncorrected formation energy 0.4872 eV/atom. Number 2: uncorrected formation energy 0.3363 eV/atom. Number 3: uncorrected formation energy 0.2926 eV/atom. Number 4: uncorrected formation energy 0.0997 eV/atom. Number 5: uncorrected formation energy -0.0692 eV/atom. Number 6: uncorrected formation energy -0.2304 eV/atom. Number 7: uncorrected formation energy 0.8557 eV/atom. Number 8: uncorrected formation energy 0.7193 eV/atom. Number 9: uncorrected formation energy 1.2247 eV/atom. Number 10: uncorrected formation energy 0.1268 eV/atom. Number 11: uncorrected formation energy 0.6279 eV/atom. Number 12: uncorrected formation energy 0.8046 eV/atom.